# Sr2CdRu

A geometry-optimized Sr2CdRu structure (PBE, Alexandria via LeMat-Bulk).

Cell: 5.3462 5.3462 3.8794 Å, 90.00 90.00 90.00°
Fractional coordinates of all 4 atoms:
Sr (0.0000, 0.5000, 0.0000)
Sr (0.5000, 0.0000, 0.0000)
Cd (0.0000, 0.0000, 0.5000)
Ru (0.5000, 0.5000, 0.5000)

Values from the calculation:
Total magnetic moment = 0.01 μB/f.u.
Space group = P4/mmm
Calculated volume = 27.72 Å³ per atom
Formation enthalpy at 0 K = 0.289 eV per atom